[1]
The following is a PBE calculation of a geometry-optimized Li2AgPt2 structure, from the Alexandria database.

Calculated values
Excess energy over the best structure of this formula in the dataset ... 324.1 meV/atom

Unit cell a=4.540 b=4.540 c=5.174 alpha=63.98 beta=63.98 gamma=90.00
Atoms (fractional coordinates):
1 Pt 0.345 0.345 0.310
2 Pt 0.655 0.655 0.690
3 Li 0.750 0.250 0.500
4 Li 0.250 0.750 0.500
5 Ag 0.000 0.000 0.000

[2]
The following is a PBE calculation of a geometry-optimized LiAg2Pt2 structure, from the Alexandria database.

Calculated values
Excess energy over the best structure of this formula in the dataset ... 95.4 meV/atom

Unit cell a=3.698 b=3.698 c=7.451 alpha=75.63 beta=75.63 gamma=90.00
Atoms (fractional coordinates):
1 Pt 0.750 0.250 0.500
2 Pt 0.250 0.750 0.500
3 Li 0.000 0.000 0.000
4 Ag 0.404 0.404 0.192
5 Ag 0.596 0.596 0.808

[3]
The following is a PBE calculation of a geometry-optimized Li2AgPt structure, from the Alexandria database.

Unit cell a=4.573 b=4.573 c=4.573 alpha=127.64 beta=127.64 gamma=77.21
Atoms (fractional coordinates):
1 Ag 0.750 0.250 0.500
2 Li 0.000 0.000 0.000
3 Li 0.500 0.500 0.000
4 Pt 0.250 0.750 0.500

[4]
The following is a PBE calculation of a geometry-optimized Li12Ag6Pt structure, from the Alexandria database.

Unit cell a=6.897 b=6.897 c=6.897 alpha=91.39 beta=91.39 gamma=91.39
Atoms (fractional coordinates):
1 Li 0.531 0.434 0.804
2 Li 0.566 0.196 0.469
3 Li 0.804 0.531 0.434
4 Li 0.364 0.027 0.142
5 Li 0.973 0.858 0.636
6 Li 0.636 0.973 0.858
7 Li 0.142 0.364 0.027
8 Li 0.469 0.566 0.196
9 Li 0.196 0.469 0.566
10 Li 0.027 0.142 0.364
11 Li 0.858 0.636 0.973
12 Li 0.434 0.804 0.531
13 Pt 0.000 0.000 0.000
14 Ag 0.724 0.883 0.275
15 Ag 0.725 0.276 0.117
16 Ag 0.276 0.117 0.725
17 Ag 0.117 0.725 0.276
18 Ag 0.883 0.275 0.724
19 Ag 0.275 0.724 0.883

[5]
The following is a PBE calculation of a geometry-optimized Li5Ag2Pt structure, from the Alexandria database.

Unit cell a=4.342 b=4.342 c=7.072 alpha=107.88 beta=107.88 gamma=90.00
Atoms (fractional coordinates):
1 Ag 0.243 0.243 0.486
2 Ag 0.757 0.757 0.514
3 Pt 0.000 0.000 0.000
4 Li 0.880 0.380 0.760
5 Li 0.500 0.500 0.000
6 Li 0.120 0.620 0.240
7 Li 0.380 0.880 0.760
8 Li 0.620 0.120 0.240

[6]
The following is a PBE calculation of a geometry-optimized Li4Ag3Pt structure, from the Alexandria database.

Calculated values
Excess energy over the best structure of this formula in the dataset ... 0.0 meV/atom

Unit cell a=4.325 b=4.325 c=7.115 alpha=107.65 beta=107.69 gamma=90.00
Atoms (fractional coordinates):
1 Pt 0.500 0.000 0.000
2 Li 0.382 0.381 0.763
3 Li 0.618 0.619 0.237
4 Li 0.118 0.118 0.237
5 Li 0.882 0.882 0.763
6 Ag 0.000 0.500 0.000
7 Ag 0.745 0.245 0.490
8 Ag 0.255 0.755 0.510

[7]
The following is a PBE calculation of a geometry-optimized LiAg2Pt structure, from the Alexandria database.

Unit cell a=9.450 b=9.450 c=9.450 alpha=17.26 beta=17.26 gamma=17.26
Atoms (fractional coordinates):
1 Ag 0.497 0.497 0.497
2 Ag 0.003 0.003 0.003
3 Pt 0.250 0.250 0.250
4 Li 0.750 0.750 0.750

[8]
The following is a PBE calculation of a geometry-optimized Li7Ag2Pt2 structure, from the Alexandria database.

Unit cell a=5.518 b=4.302 c=7.253 alpha=88.04 beta=92.91 gamma=87.93
Atoms (fractional coordinates):
1 Pt 0.729 0.255 0.263
2 Pt 0.271 0.745 0.737
3 Li 0.031 0.243 0.611
4 Li 0.519 0.237 0.584
5 Li 0.969 0.757 0.389
6 Li 0.000 0.000 0.000
7 Li 0.481 0.763 0.416
8 Li 0.544 0.745 0.080
9 Li 0.456 0.255 0.920
10 Ag 0.770 0.718 0.741
11 Ag 0.230 0.282 0.259

no.,ΔH_f (0 K) (meV per atom)
1,39
2,98
3,-388
4,-191
5,-304
6,-303
7,-103
8,-331